{
  "formula": "Hf2SbPt2",
  "functional": "meta-GGA SCAN",
  "state": "single point on PBEsol structure",
  "energy_ev_per_atom": -61.653,
  "space_group": "P4/mbm, No. 127",
  "lattice": [[7.350, 0.000, 0.000], [0.000, 7.350, 0.000], [0.000, 0.000, 3.508]],
  "species": ["Hf", "Hf", "Hf", "Hf", "Sb", "Sb", "Pt", "Pt", "Pt", "Pt"],
  "fractional_positions": [[0.165, 0.335, 0.000], [0.335, 0.835, 0.000], [0.665, 0.165, 0.000], [0.835, 0.665, 0.000], [0.000, 0.000, 0.500], [0.500, 0.500, 0.500], [0.130, 0.630, 0.500], [0.370, 0.130, 0.500], [0.630, 0.870, 0.500], [0.870, 0.370, 0.500]]
}

{
  "formula": "HfSb2Pt",
  "functional": "meta-GGA SCAN",
  "state": "single point on PBEsol structure",
  "energy_ev_per_atom": -52.064,
  "space_group": "I-42d, No. 122",
  "lattice": [[-3.790, 3.790, 3.053], [3.790, -3.790, 3.053], [3.790, 3.790, -3.053]],
  "species": ["Hf", "Hf", "Sb", "Sb", "Sb", "Sb", "Pt", "Pt"],
  "fractional_positions": [[0.000, 0.000, 0.000], [0.750, 0.250, 0.500], [0.159, 0.125, 0.534], [0.375, 0.841, 0.966], [0.591, 0.625, 0.466], [0.875, 0.409, 0.034], [0.250, 0.750, 0.500], [0.500, 0.500, 0.000]]
}

{
  "formula": "HfSc2Pt",
  "functional": "meta-GGA SCAN",
  "state": "single point on PBEsol structure",
  "ef_ev_per_fu": -2.03,
  "energy_ev_per_atom": -40.843,
  "space_group": "Fm-3m, No. 225",
  "lattice": [[0.000, 3.357, 3.357], [3.357, 0.000, 3.357], [3.357, 3.357, 0.000]],
  "species": ["Hf", "Sc", "Sc", "Pt"],
  "fractional_positions": [[0.000, 0.000, 0.000], [0.250, 0.250, 0.250], [0.750, 0.750, 0.750], [0.500, 0.500, 0.500]]
}

{
  "formula": "HfSc2Pt2",
  "functional": "meta-GGA SCAN",
  "state": "single point on PBEsol structure",
  "ef_ev_per_fu": -5.92,
  "energy_ev_per_atom": -47.490,
  "space_group": "P4/mbm, No. 127",
  "lattice": [[7.127, 0.000, 0.000], [0.000, 7.127, 0.000], [0.000, 0.000, 3.747]],
  "species": ["Hf", "Hf", "Sc", "Sc", "Sc", "Sc", "Pt", "Pt", "Pt", "Pt"],
  "fractional_positions": [[0.000, 0.000, 0.000], [0.500, 0.500, 0.000], [0.163, 0.337, 0.500], [0.337, 0.837, 0.500], [0.663, 0.163, 0.500], [0.837, 0.663, 0.500], [0.139, 0.639, 0.000], [0.361, 0.139, 0.000], [0.639, 0.861, 0.000], [0.861, 0.361, 0.000]]
}

{
  "formula": "Hf2Si2Pt",
  "functional": "meta-GGA SCAN",
  "state": "single point on PBEsol structure",
  "energy_ev_per_atom": -44.152,
  "space_group": "P4/mbm, No. 127",
  "lattice": [[6.314, 0.000, 0.000], [0.000, 6.314, 0.000], [0.000, 0.000, 4.029]],
  "species": ["Hf", "Hf", "Hf", "Hf", "Si", "Si", "Si", "Si", "Pt", "Pt"],
  "fractional_positions": [[0.171, 0.329, 0.000], [0.329, 0.829, 0.000], [0.671, 0.171, 0.000], [0.829, 0.671, 0.000], [0.130, 0.630, 0.500], [0.370, 0.130, 0.500], [0.630, 0.870, 0.500], [0.870, 0.370, 0.500], [0.000, 0.000, 0.500], [0.500, 0.500, 0.500]]
}

{
  "formula": "HfSiPt",
  "functional": "meta-GGA SCAN",
  "state": "single point on PBEsol structure",
  "energy_ev_per_atom": -48.882,
  "space_group": "Pnma, No. 62",
  "lattice": [[6.514, 0.000, 0.000], [0.000, 3.865, 0.000], [0.000, 0.000, 7.490]],
  "species": ["Hf", "Hf", "Hf", "Hf", "Si", "Si", "Si", "Si", "Pt", "Pt", "Pt", "Pt"],
  "fractional_positions": [[0.026, 0.250, 0.177], [0.474, 0.750, 0.677], [0.526, 0.250, 0.323], [0.974, 0.750, 0.823], [0.239, 0.750, 0.377], [0.261, 0.250, 0.877], [0.739, 0.750, 0.123], [0.761, 0.250, 0.623], [0.145, 0.250, 0.565], [0.355, 0.750, 0.065], [0.645, 0.250, 0.935], [0.855, 0.750, 0.435]]
}

{
  "formula": "Hf2SiTcPt",
  "functional": "meta-GGA SCAN",
  "state": "single point on PBEsol structure",
  "energy_ev_per_atom": -47.858,
  "space_group": "P4/mmm, No. 123",
  "lattice": [[4.769, 0.000, 0.000], [0.000, 4.769, 0.000], [0.000, 0.000, 4.241]],
  "species": ["Hf", "Hf", "Si", "Tc", "Pt"],
  "fractional_positions": [[0.000, 0.500, 0.000], [0.500, 0.000, 0.000], [0.000, 0.000, 0.000], [0.000, 0.000, 0.500], [0.500, 0.500, 0.500]]
}

{
  "formula": "SrHf2Pt2",
  "functional": "meta-GGA SCAN",
  "state": "single point on PBEsol structure",
  "ef_ev_per_fu": -5.44,
  "energy_ev_per_atom": -58.689,
  "space_group": "I4/mmm, No. 139",
  "lattice": [[-2.294, 2.294, 5.390], [2.294, -2.294, 5.390], [2.294, 2.294, -5.390]],
  "species": ["Sr", "Hf", "Hf", "Pt", "Pt"],
  "fractional_positions": [[0.000, 0.000, 0.000], [0.250, 0.750, 0.500], [0.750, 0.250, 0.500], [0.375, 0.375, 0.000], [0.625, 0.625, 0.000]]
}

{
  "formula": "SrHfPt2",
  "functional": "meta-GGA SCAN",
  "state": "single point on PBEsol structure",
  "ef_ev_per_fu": -2.92,
  "energy_ev_per_atom": -57.064,
  "space_group": "Fm-3m, No. 225",
  "lattice": [[0.000, 3.418, 3.418], [3.418, 0.000, 3.418], [3.418, 3.418, 0.000]],
  "species": ["Sr", "Hf", "Pt", "Pt"],
  "fractional_positions": [[0.000, 0.000, 0.000], [0.500, 0.500, 0.500], [0.250, 0.250, 0.250], [0.750, 0.750, 0.750]]
}

{
  "formula": "HfTa3Pt",
  "functional": "meta-GGA SCAN",
  "state": "single point on PBEsol structure",
  "ef_ev_per_fu": 9.81,
  "energy_ev_per_atom": -64.562,
  "space_group": "Pm-3m, No. 221",
  "lattice": [[4.740, 0.000, 0.000], [0.000, 4.740, 0.000], [0.000, 0.000, 4.740]],
  "species": ["Hf", "Ta", "Ta", "Ta", "Pt"],
  "fractional_positions": [[0.000, 0.000, 0.000], [0.000, 0.000, 0.500], [0.000, 0.500, 0.000], [0.500, 0.000, 0.000], [0.500, 0.500, 0.500]]
}

{
  "formula": "HfTcPt3",
  "functional": "meta-GGA SCAN",
  "state": "single point on PBEsol structure",
  "ef_ev_per_fu": 5.13,
  "energy_ev_per_atom": -60.636,
  "space_group": "Pm-3m, No. 221",
  "lattice": [[4.788, 0.000, 0.000], [0.000, 4.788, 0.000], [0.000, 0.000, 4.788]],
  "species": ["Hf", "Tc", "Pt", "Pt", "Pt"],
  "fractional_positions": [[0.000, 0.000, 0.000], [0.500, 0.500, 0.500], [0.000, 0.000, 0.500], [0.000, 0.500, 0.000], [0.500, 0.000, 0.000]]
}

{
  "formula": "HfTe2Pt",
  "functional": "meta-GGA SCAN",
  "state": "single point on PBEsol structure",
  "energy_ev_per_atom": -51.952,
  "space_group": "Fm-3m, No. 225",
  "lattice": [[0.000, 3.469, 3.469], [3.469, 0.000, 3.469], [3.469, 3.469, 0.000]],
  "species": ["Hf", "Te", "Te", "Pt"],
  "fractional_positions": [[0.000, 0.000, 0.000], [0.250, 0.250, 0.250], [0.750, 0.750, 0.750], [0.500, 0.500, 0.500]]
}

{
  "formula": "HfTe3Pt",
  "functional": "meta-GGA SCAN",
  "state": "single point on PBEsol structure",
  "energy_ev_per_atom": -48.237,
  "space_group": "Pm-3m, No. 221",
  "lattice": [[5.362, 0.000, 0.000], [0.000, 5.362, 0.000], [0.000, 0.000, 5.362]],
  "species": ["Hf", "Te", "Te", "Te", "Pt"],
  "fractional_positions": [[0.000, 0.000, 0.000], [0.000, 0.000, 0.500], [0.000, 0.500, 0.000], [0.500, 0.000, 0.000], [0.500, 0.500, 0.500]]
}

{
  "formula": "HfTePt3",
  "functional": "meta-GGA SCAN",
  "state": "single point on PBEsol structure",
  "energy_ev_per_atom": -61.436,
  "space_group": "Pm-3m, No. 221",
  "lattice": [[4.869, 0.000, 0.000], [0.000, 4.869, 0.000], [0.000, 0.000, 4.869]],
  "species": ["Hf", "Te", "Pt", "Pt", "Pt"],
  "fractional_positions": [[0.000, 0.000, 0.000], [0.500, 0.500, 0.500], [0.000, 0.000, 0.500], [0.000, 0.500, 0.000], [0.500, 0.000, 0.000]]
}

{
  "formula": "HfTi3Pt",
  "functional": "meta-GGA SCAN",
  "state": "single point on PBEsol structure",
  "ef_ev_per_fu": 5.63,
  "energy_ev_per_atom": -35.064,
  "space_group": "Pm-3m, No. 221",
  "lattice": [[4.628, 0.000, 0.000], [0.000, 4.628, 0.000], [0.000, 0.000, 4.628]],
  "species": ["Hf", "Ti", "Ti", "Ti", "Pt"],
  "fractional_positions": [[0.000, 0.000, 0.000], [0.000, 0.000, 0.500], [0.000, 0.500, 0.000], [0.500, 0.000, 0.000], [0.500, 0.500, 0.500]]
}

{
  "formula": "Y3HfPt",
  "functional": "meta-GGA SCAN",
  "state": "single point on PBEsol structure",
  "ef_ev_per_fu": -0.59,
  "energy_ev_per_atom": -43.397,
  "space_group": "Pm-3m, No. 221",
  "lattice": [[5.313, 0.000, 0.000], [0.000, 5.313, 0.000], [0.000, 0.000, 5.313]],
  "species": ["Y", "Y", "Y", "Hf", "Pt"],
  "fractional_positions": [[0.000, 0.000, 0.500], [0.000, 0.500, 0.000], [0.500, 0.000, 0.000], [0.500, 0.500, 0.500], [0.000, 0.000, 0.000]]
}

{
  "formula": "HfZnPt3",
  "functional": "meta-GGA SCAN",
  "state": "single point on PBEsol structure",
  "ef_ev_per_fu": 3.84,
  "energy_ev_per_atom": -56.586,
  "space_group": "Pm-3m, No. 221",
  "lattice": [[4.845, 0.000, 0.000], [0.000, 4.845, 0.000], [0.000, 0.000, 4.845]],
  "species": ["Hf", "Zn", "Pt", "Pt", "Pt"],
  "fractional_positions": [[0.000, 0.000, 0.000], [0.500, 0.500, 0.500], [0.000, 0.000, 0.500], [0.000, 0.500, 0.000], [0.500, 0.000, 0.000]]
}

{
  "formula": "Hf3ZrPt",
  "functional": "meta-GGA SCAN",
  "state": "single point on PBEsol structure",
  "ef_ev_per_fu": 6.52,
  "energy_ev_per_atom": -56.478,
  "space_group": "Pm-3m, No. 221",
  "lattice": [[4.900, 0.000, 0.000], [0.000, 4.900, 0.000], [0.000, 0.000, 4.900]],
  "species": ["Hf", "Hf", "Hf", "Zr", "Pt"],
  "fractional_positions": [[0.000, 0.000, 0.500], [0.000, 0.500, 0.000], [0.500, 0.000, 0.000], [0.000, 0.000, 0.000], [0.500, 0.500, 0.500]]
}

{
  "formula": "HfZr2Pt2",
  "functional": "meta-GGA SCAN",
  "state": "single point on PBEsol structure",
  "ef_ev_per_fu": -5.43,
  "energy_ev_per_atom": -53.977,
  "space_group": "P4/mbm, No. 127",
  "lattice": [[7.498, 0.000, 0.000], [0.000, 7.498, 0.000], [0.000, 0.000, 3.415]],
  "species": ["Hf", "Hf", "Zr", "Zr", "Zr", "Zr", "Pt", "Pt", "Pt", "Pt"],
  "fractional_positions": [[0.000, 0.000, 0.000], [0.500, 0.500, 0.000], [0.170, 0.330, 0.500], [0.330, 0.830, 0.500], [0.670, 0.170, 0.500], [0.830, 0.670, 0.500], [0.131, 0.631, 0.000], [0.369, 0.131, 0.000], [0.631, 0.869, 0.000], [0.869, 0.369, 0.000]]
}

{
  "formula": "Hf2ZrPt2",
  "functional": "meta-GGA SCAN",
  "state": "single point on PBEsol structure",
  "ef_ev_per_fu": -5.51,
  "energy_ev_per_atom": -60.389,
  "space_group": "P4/mbm, No. 127",
  "lattice": [[7.575, 0.000, 0.000], [0.000, 7.575, 0.000], [0.000, 0.000, 3.305]],
  "species": ["Hf", "Hf", "Hf", "Hf", "Zr", "Zr", "Pt", "Pt", "Pt", "Pt"],
  "fractional_positions": [[0.167, 0.333, 0.000], [0.333, 0.833, 0.000], [0.667, 0.167, 0.000], [0.833, 0.667, 0.000], [0.000, 0.000, 0.500], [0.500, 0.500, 0.500], [0.131, 0.631, 0.500], [0.369, 0.131, 0.500], [0.631, 0.869, 0.500], [0.869, 0.369, 0.500]]
}

{
  "formula": "RbHfRe2Rh",
  "functional": "meta-GGA SCAN",
  "state": "single point on PBEsol structure",
  "ef_ev_per_fu": 8.17,
  "energy_ev_per_atom": -50.242,
  "space_group": "P4/mmm, No. 123",
  "lattice": [[4.822, 0.000, 0.000], [0.000, 4.822, 0.000], [0.000, 0.000, 4.907]],
  "species": ["Rb", "Hf", "Re", "Re", "Rh"],
  "fractional_positions": [[0.000, 0.000, 0.000], [0.500, 0.500, 0.000], [0.000, 0.500, 0.500], [0.500, 0.000, 0.500], [0.500, 0.500, 0.500]]
}

{
  "formula": "RbHfTc2Ru",
  "functional": "meta-GGA SCAN",
  "state": "single point on PBEsol structure",
  "ef_ev_per_fu": 15.91,
  "energy_ev_per_atom": -34.491,
  "space_group": "P4/mmm, No. 123",
  "lattice": [[4.460, 0.000, 0.000], [0.000, 4.460, 0.000], [0.000, 0.000, 4.770]],
  "species": ["Rb", "Hf", "Tc", "Tc", "Ru"],
  "fractional_positions": [[0.000, 0.000, 0.000], [0.000, 0.000, 0.500], [0.000, 0.500, 0.000], [0.500, 0.000, 0.000], [0.500, 0.500, 0.500]]
}

{
  "formula": "RbHfS2",
  "functional": "meta-GGA SCAN",
  "state": "single point on PBEsol structure",
  "energy_ev_per_atom": -27.017,
  "space_group": "I-42d, No. 122",
  "lattice": [[-3.712, 3.712, 4.230], [3.712, -3.712, 4.230], [3.712, 3.712, -4.230]],
  "species": ["Rb", "Rb", "Hf", "Hf", "S", "S", "S", "S"],
  "fractional_positions": [[0.000, 0.000, 0.000], [0.750, 0.250, 0.500], [0.250, 0.750, 0.500], [0.500, 0.500, 0.000], [0.221, 0.625, 0.096], [0.375, 0.471, 0.596], [0.529, 0.125, 0.904], [0.875, 0.779, 0.404]]
}

{
  "formula": "Rb2Hf2S",
  "functional": "meta-GGA SCAN",
  "state": "single point on PBEsol structure",
  "energy_ev_per_atom": -35.000,
  "space_group": "I4/mmm, No. 139",
  "lattice": [[-1.938, 1.938, 11.491], [1.938, -1.938, 11.491], [1.938, 1.938, -11.491]],
  "species": ["Rb", "Rb", "Hf", "Hf", "S"],
  "fractional_positions": [[0.079, 0.079, 0.000], [0.921, 0.921, 0.000], [0.250, 0.750, 0.500], [0.750, 0.250, 0.500], [0.500, 0.500, 0.000]]
}

{
  "formula": "RbHfS2",
  "functional": "meta-GGA SCAN",
  "state": "single point on PBEsol structure",
  "energy_ev_per_atom": -26.279,
  "space_group": "Fm-3m, No. 225",
  "lattice": [[0.000, 3.387, 3.387], [3.387, 0.000, 3.387], [3.387, 3.387, 0.000]],
  "species": ["Rb", "Hf", "S", "S"],
  "fractional_positions": [[0.000, 0.000, 0.000], [0.500, 0.500, 0.500], [0.250, 0.250, 0.250], [0.750, 0.750, 0.750]]
}

{
  "formula": "RbHfScS2",
  "functional": "meta-GGA SCAN",
  "state": "single point on PBEsol structure",
  "energy_ev_per_atom": -23.285,
  "space_group": "P4/mmm, No. 123",
  "lattice": [[4.923, 0.000, 0.000], [0.000, 4.923, 0.000], [0.000, 0.000, 5.755]],
  "species": ["Rb", "Hf", "Sc", "S", "S"],
  "fractional_positions": [[0.000, 0.000, 0.000], [0.000, 0.000, 0.500], [0.500, 0.500, 0.000], [0.000, 0.500, 0.500], [0.500, 0.000, 0.500]]
}

{
  "formula": "Rb3HfSb",
  "functional": "meta-GGA SCAN",
  "state": "single point on PBEsol structure",
  "energy_ev_per_atom": -31.505,
  "space_group": "Pm-3m, No. 221",
  "lattice": [[6.853, 0.000, 0.000], [0.000, 6.853, 0.000], [0.000, 0.000, 6.853]],
  "species": ["Rb", "Rb", "Rb", "Hf", "Sb"],
  "fractional_positions": [[0.000, 0.000, 0.500], [0.000, 0.500, 0.000], [0.500, 0.000, 0.000], [0.500, 0.500, 0.500], [0.000, 0.000, 0.000]]
}